LiTbCdBi: optimized geometry, GGA-PBE.

a = 5.2375 Å, b = 5.2375 Å, c = 5.2375 Å
α = 60.00°, β = 60.00°, γ = 60.00°
Closest atoms and distances in Å follow each position.
Sites, in units of the cell vectors:
Li: 0.0000 0.0000 0.0000  4 Cd 3.21, 4 Bi 3.21
Tb: 0.5000 0.5000 0.5000  4 Bi 3.21, 4 Cd 3.21
Bi: 0.2500 0.2500 0.2500  4 Tb 3.21, 4 Li 3.21
Cd: 0.7500 0.7500 0.7500  4 Tb 3.21, 4 Li 3.21

energy of formation = -140 kJ/mol of formula units
space-group type = F-43m, No. 216
magnetization = 0.000 μB per formula unit
E_tot = -12.8 eV per formula unit